Here is a geometry-optimized Cr2NiPO6 structure from the Alexandria database. Energies are from PBE with a Hubbard U.

POSCAR file:
```
Cr2NiPO6
1.0
4.946 0.021 0.049
2.485 4.355 0.166
2.516 1.596 4.703
Cr Ni P O
2 1 1 6
Cartesian
4.995 2.971 2.092
2.518 1.586 4.562
7.459 4.530 2.926
2.485 1.474 0.186
3.886 1.228 1.107
4.072 4.627 1.217
6.819 2.786 1.154
5.744 4.285 3.889
5.672 1.830 3.726
3.614 3.082 3.729
```

Values from the calculation:
Electronic total energy in eV/atom: -6.932